(1)
Material: Ac5RuAu2
Method: DFT, PBE
State: optimized geometry

## Properties
E_tot	-5.057	eV/atom
energy of formation from the pure elements	-49.2	kJ per mole of atoms
D(E_F)	14.79	states/eV/cell
size of the total moment	0.00	μB/f.u.

a = 9.626 Å, b = 12.895 Å, c = 4.354 Å
α = 90.00°, β = 90.00°, γ = 90.00°
Fractional positions:
Ac  0.000  0.000  0.000
Ac  0.142  0.299  0.000
Ac  0.175  0.579  0.500
Ac  0.325  0.079  0.500
Ac  0.358  0.799  0.000
Ac  0.500  0.500  0.000
Ac  0.642  0.201  0.000
Ac  0.675  0.921  0.500
Ac  0.825  0.421  0.500
Ac  0.858  0.701  0.000
Ru  0.000  0.500  0.000
Ru  0.500  0.000  0.000
Au  0.076  0.824  0.500
Au  0.424  0.324  0.500
Au  0.576  0.676  0.500
Au  0.924  0.176  0.500

***

(2)
Material: Cs2AgHPd
Method: DFT, PBE
State: optimized geometry

## Properties
E_tot	-2.429	eV/atom
ΔE to the lowest computed polymorph	190	meV/atom
D(E_F)	0.00	states/eV/cell
size of the total moment	0.00	μB/f.u.

a = 6.421 Å, b = 6.421 Å, c = 3.775 Å
α = 90.00°, β = 90.00°, γ = 90.00°
Fractional positions:
Cs  0.000  0.500  0.000
Cs  0.500  0.000  0.000
Ag  0.000  0.000  0.500
H  0.000  0.000  0.000
Pd  0.500  0.500  0.500

***

(3)
Material: Sc3SBr3
Method: DFT, PBE
State: optimized geometry

## Properties
E_tot	-5.528	eV/atom
D(E_F)	12.83	states/eV/cell
size of the total moment	0.00	μB/f.u.
E_form (uncorrected)	-10.554	eV per formula unit

a = 9.410 Å, b = 9.410 Å, c = 9.410 Å
α = 109.47°, β = 109.47°, γ = 109.47°
Fractional positions:
Sc  0.022  0.043  0.272
Sc  0.022  0.478  0.750
Sc  0.043  0.272  0.022
Sc  0.228  0.272  0.750
Sc  0.228  0.457  0.478
Sc  0.272  0.022  0.043
Sc  0.272  0.750  0.228
Sc  0.457  0.478  0.228
Sc  0.478  0.228  0.457
Sc  0.478  0.750  0.022
Sc  0.750  0.022  0.478
Sc  0.750  0.228  0.272
S  0.000  0.250  0.500
S  0.250  0.250  0.250
S  0.250  0.500  0.000
S  0.500  0.000  0.250
Br  0.250  0.753  0.747
Br  0.250  0.997  0.503
Br  0.503  0.250  0.997
Br  0.503  0.753  0.506
Br  0.506  0.503  0.753
Br  0.747  0.250  0.753
Br  0.747  0.997  0.994
Br  0.753  0.506  0.503
Br  0.753  0.747  0.250
Br  0.994  0.747  0.997
Br  0.997  0.503  0.250
Br  0.997  0.994  0.747

***

(4)
Material: LiCu2Ru
Method: DFT, PBE
State: optimized geometry

## Properties
E_tot	-4.601	eV/atom
ΔE to the lowest computed polymorph	207	meV/atom
energy of formation from the pure elements	23.5	kJ per mole of atoms
D(E_F)	6.62	states/eV/cell
size of the total moment	1.00	μB/f.u.

a = 4.176 Å, b = 4.176 Å, c = 4.176 Å
α = 60.00°, β = 60.00°, γ = 60.00°
Fractional positions:
Li  0.000  0.000  0.000
Cu  0.250  0.250  0.250
Cu  0.750  0.750  0.750
Ru  0.500  0.500  0.500

***

(5)
Material: Ba2CdGaH
Method: DFT, PBE
State: optimized geometry

## Properties
E_tot	-2.507	eV/atom
ΔE to the lowest computed polymorph	0	meV/atom
D(E_F)	1.91	states/eV/cell
size of the total moment	0.00	μB/f.u.

a = 5.753 Å, b = 5.753 Å, c = 4.363 Å
α = 90.00°, β = 90.00°, γ = 90.00°
Fractional positions:
Ba  0.000  0.500  0.000
Ba  0.500  0.000  0.000
Cd  0.000  0.000  0.500
Ga  0.500  0.500  0.500
H  0.500  0.500  0.000

***

(6)
Material: Sr6P2NCl3
Method: DFT, PBE
State: optimized geometry

## Properties
E_tot	-4.468	eV/atom
D(E_F)	0.00	states/eV/cell
size of the total moment	0.00	μB/f.u.
E_form (uncorrected)	-18.841	eV per formula unit

a = 7.403 Å, b = 7.403 Å, c = 7.593 Å
α = 99.23°, β = 99.23°, γ = 120.13°
Fractional positions:
Sr  0.068  0.371  0.206
Sr  0.237  0.237  0.797
Sr  0.371  0.068  0.206
Sr  0.629  0.932  0.794
Sr  0.763  0.763  0.203
Sr  0.932  0.629  0.794
P  0.332  0.668  0.000
P  0.668  0.332  0.000
N  0.000  0.000  0.000
Cl  0.160  0.840  0.500
Cl  0.500  0.500  0.500
Cl  0.840  0.160  0.500

***

(7)
Material: La5Tl4Au
Method: DFT, PBE
State: optimized geometry

## Properties
E_tot	-4.241	eV/atom
energy of formation from the pure elements	-48.6	kJ per mole of atoms
D(E_F)	8.60	states/eV/cell
size of the total moment	0.00	μB/f.u.

a = 3.791 Å, b = 3.791 Å, c = 21.274 Å
α = 90.00°, β = 90.00°, γ = 90.00°
Fractional positions:
La  0.000  0.000  0.000
La  0.000  0.000  0.206
La  0.000  0.000  0.413
La  0.000  0.000  0.587
La  0.000  0.000  0.794
Tl  0.500  0.500  0.103
Tl  0.500  0.500  0.309
Tl  0.500  0.500  0.691
Tl  0.500  0.500  0.897
Au  0.500  0.500  0.500

***

(8)
Material: Sr8Hg2Pd3
Method: DFT, PBE
State: optimized geometry

## Properties
E_tot	-2.695	eV/atom
energy of formation from the pure elements	-40.0	kJ per mole of atoms
D(E_F)	9.46	states/eV/cell
size of the total moment	0.00	μB/f.u.

a = 9.455 Å, b = 5.442 Å, c = 9.489 Å
α = 90.00°, β = 109.14°, γ = 90.00°
Fractional positions:
Sr  0.116  0.000  0.384
Sr  0.127  0.500  0.863
Sr  0.362  0.500  0.626
Sr  0.381  0.000  0.120
Sr  0.619  0.000  0.880
Sr  0.638  0.500  0.374
Sr  0.873  0.500  0.137
Sr  0.884  0.000  0.616
Hg  0.252  0.500  0.248
Hg  0.748  0.500  0.752
Pd  0.000  0.500  0.500
Pd  0.255  0.000  0.754
Pd  0.745  0.000  0.246

***

(9)
Material: BaPm2Mg3
Method: DFT, PBE
State: optimized geometry

## Properties
E_tot	-2.771	eV/atom
energy of formation from the pure elements	-6.8	kJ per mole of atoms
D(E_F)	5.12	states/eV/cell
size of the total moment	0.00	μB/f.u.

a = 3.948 Å, b = 3.948 Å, c = 12.489 Å
α = 90.00°, β = 90.00°, γ = 90.00°
Fractional positions:
Ba  0.000  0.000  0.000
Pm  0.000  0.000  0.352
Pm  0.000  0.000  0.648
Mg  0.500  0.500  0.200
Mg  0.500  0.500  0.500
Mg  0.500  0.500  0.800

***

(10)
Material: Ti5NbTc6
Method: DFT, PBE
State: optimized geometry

## Properties
E_tot	-9.795	eV/atom
energy of formation from the pure elements	-46.6	kJ per mole of atoms
D(E_F)	9.20	states/eV/cell
size of the total moment	0.00	μB/f.u.

a = 7.643 Å, b = 7.643 Å, c = 7.643 Å
α = 146.40°, β = 131.83°, γ = 60.01°
Fractional positions:
Ti  0.000  0.000  0.000
Ti  0.167  0.667  0.500
Ti  0.331  0.331  0.000
Ti  0.669  0.669  0.000
Ti  0.833  0.333  0.500
Nb  0.500  0.000  0.500
Tc  0.082  0.833  0.249
Tc  0.248  0.500  0.748
Tc  0.416  0.167  0.249
Tc  0.584  0.833  0.751
Tc  0.752  0.500  0.252
Tc  0.918  0.167  0.751

***

(11)
Material: LaTcB2
Method: DFT, PBE
State: optimized geometry

## Properties
E_tot	-7.073	eV/atom
ΔE to the lowest computed polymorph	463	meV/atom
energy of formation from the pure elements	8.6	kJ per mole of atoms
D(E_F)	2.02	states/eV/cell
size of the total moment	0.00	μB/f.u.

a = 6.322 Å, b = 6.322 Å, c = 6.322 Å
α = 31.13°, β = 31.13°, γ = 31.13°
Fractional positions:
La  0.000  0.000  0.000
Tc  0.500  0.500  0.500
B  0.224  0.224  0.224
B  0.776  0.776  0.776

***

(12)
Material: BeMo2W
Method: DFT, PBE
State: optimized geometry

## Properties
E_tot	-9.416	eV/atom
energy of formation from the pure elements	16.4	kJ per mole of atoms
D(E_F)	2.15	states/eV/cell
size of the total moment	0.00	μB/f.u.

a = 4.148 Å, b = 4.148 Å, c = 3.371 Å
α = 90.00°, β = 90.00°, γ = 90.00°
Fractional positions:
Be  0.000  0.000  0.000
Mo  0.000  0.500  0.500
Mo  0.500  0.000  0.500
W  0.500  0.500  0.000

***

(13)
Material: La2Tb8Tm
Method: DFT, PBE
State: optimized geometry

## Properties
E_tot	-4.489	eV/atom
ΔE to the lowest computed polymorph	155	meV/atom
energy of formation from the pure elements	17.5	kJ per mole of atoms
D(E_F)	16.82	states/eV/cell
size of the total moment	0.00	μB/f.u.

a = 10.073 Å, b = 10.073 Å, c = 5.660 Å
α = 92.41°, β = 92.41°, γ = 41.06°
Fractional positions:
La  0.217  0.217  0.257
La  0.783  0.783  0.743
Tb  0.045  0.045  0.236
Tb  0.107  0.640  0.264
Tb  0.318  0.318  0.768
Tb  0.360  0.893  0.736
Tb  0.640  0.107  0.264
Tb  0.682  0.682  0.232
Tb  0.893  0.360  0.736
Tb  0.955  0.955  0.764
Tm  0.500  0.500  0.000

***

(14)
Material: Sr2Ac8Co3
Method: DFT, PBE
State: optimized geometry

## Properties
E_tot	-4.356	eV/atom
energy of formation from the pure elements	6.8	kJ per mole of atoms
D(E_F)	10.96	states/eV/cell
size of the total moment	0.00	μB/f.u.

a = 10.619 Å, b = 10.619 Å, c = 7.120 Å
α = 98.64°, β = 98.64°, γ = 44.78°
Fractional positions:
Sr  0.243  0.243  0.053
Sr  0.757  0.757  0.947
Ac  0.081  0.081  0.375
Ac  0.194  0.662  0.148
Ac  0.338  0.806  0.852
Ac  0.389  0.389  0.616
Ac  0.611  0.611  0.384
Ac  0.662  0.194  0.148
Ac  0.806  0.338  0.852
Ac  0.919  0.919  0.625
Co  0.000  0.000  0.000
Co  0.303  0.697  0.500
Co  0.697  0.303  0.500

***

(15)
Material: Li2H6N3
Method: DFT, PBE
State: optimized geometry

## Properties
E_tot	-4.719	eV/atom
D(E_F)	1.66	states/eV/cell
size of the total moment	1.02	μB/f.u.

a = 6.768 Å, b = 6.768 Å, c = 5.668 Å
α = 109.87°, β = 109.87°, γ = 54.57°
Fractional positions:
Li  0.152  0.787  0.996
Li  0.213  0.848  0.504
Li  0.787  0.152  0.496
Li  0.848  0.213  0.004
H  0.025  0.378  0.772
H  0.130  0.207  0.391
H  0.207  0.130  0.891
H  0.378  0.025  0.272
H  0.423  0.432  0.181
H  0.432  0.423  0.681
H  0.568  0.577  0.319
H  0.577  0.568  0.819
H  0.622  0.975  0.728
H  0.793  0.870  0.109
H  0.870  0.793  0.609
H  0.975  0.622  0.228
N  0.048  0.212  0.761
N  0.212  0.048  0.261
N  0.402  0.598  0.750
N  0.598  0.402  0.250
N  0.788  0.952  0.739
N  0.952  0.788  0.239

***

(16)
Material: RbHfRe3
Method: DFT, PBE
State: optimized geometry

## Properties
E_tot	-6.174	eV/atom
ΔE to the lowest computed polymorph	963	meV/atom
energy of formation from the pure elements	335.7	kJ per mole of atoms
D(E_F)	8.44	states/eV/cell
size of the total moment	0.00	μB/f.u.

a = 4.659 Å, b = 4.659 Å, c = 4.659 Å
α = 90.00°, β = 90.00°, γ = 90.00°
Fractional positions:
Rb  0.000  0.000  0.000
Hf  0.500  0.500  0.500
Re  0.000  0.000  0.500
Re  0.000  0.500  0.000
Re  0.500  0.000  0.000

***

(17)
Material: Li2PmSn2Hg2
Method: DFT, PBE
State: optimized geometry

## Properties
E_tot	-2.884	eV/atom
energy of formation from the pure elements	-41.4	kJ per mole of atoms
D(E_F)	2.17	states/eV/cell
size of the total moment	0.00	μB/f.u.

a = 8.882 Å, b = 8.882 Å, c = 8.882 Å
α = 30.63°, β = 30.63°, γ = 30.63°
Fractional positions:
Li  0.142  0.142  0.142
Li  0.858  0.858  0.858
Pm  0.000  0.000  0.000
Sn  0.264  0.264  0.264
Sn  0.736  0.736  0.736
Hg  0.442  0.442  0.442
Hg  0.558  0.558  0.558

***

(18)
Material: TbHfCdGa
Method: DFT, PBE
State: optimized geometry

## Properties
E_tot	-4.859	eV/atom
energy of formation from the pure elements	-22.0	kJ per mole of atoms
D(E_F)	2.11	states/eV/cell
size of the total moment	0.00	μB/f.u.

a = 4.991 Å, b = 4.991 Å, c = 4.991 Å
α = 60.00°, β = 60.00°, γ = 60.00°
Fractional positions:
Tb  0.000  0.000  0.000
Hf  0.500  0.500  0.500
Cd  0.250  0.250  0.250
Ga  0.750  0.750  0.750

***

(19)
Material: La2AlCo
Method: DFT, PBE
State: optimized geometry

## Properties
E_tot	-5.243	eV/atom
ΔE to the lowest computed polymorph	152	meV/atom
energy of formation from the pure elements	-6.4	kJ per mole of atoms
D(E_F)	3.29	states/eV/cell
size of the total moment	0.58	μB/f.u.

a = 5.158 Å, b = 5.158 Å, c = 3.759 Å
α = 90.00°, β = 90.00°, γ = 90.00°
Fractional positions:
La  0.000  0.500  0.000
La  0.500  0.000  0.000
Al  0.000  0.000  0.500
Co  0.500  0.500  0.500

***

(20)
Material: Li2ScPt2
Method: DFT, PBE
State: optimized geometry

## Properties
E_tot	-5.229	eV/atom
ΔE to the lowest computed polymorph	0	meV/atom
energy of formation from the pure elements	-75.3	kJ per mole of atoms
D(E_F)	2.23	states/eV/cell
size of the total moment	0.00	μB/f.u.

a = 7.293 Å, b = 7.293 Å, c = 2.893 Å
α = 90.00°, β = 90.00°, γ = 150.41°
Fractional positions:
Li  0.203  0.797  0.000
Li  0.797  0.203  0.000
Sc  0.000  0.000  0.000
Pt  0.388  0.612  0.500
Pt  0.612  0.388  0.500